Below is crystalline Sc2MoBr at its relaxed geometry, with properties calculated at the PBE-GGA level.

The uncorrected formation energy is 0.527 eV/atom. The calculation puts the total moment at 0.00 Bohr magnetons per cell. The calculation puts the raw total energy at -92.2 eV per cell.

The space group is F-43m (No. 216) and the conventional cell measures 6.758, 6.758 and 6.758 Å, with angles of 90.00, 90.00 and 90.00 degrees. The inequivalent atoms are Sc at (0.000, 0.000, 0.000), Sc at (0.250, 0.250, 0.250), Mo at (0.000, 0.000, 0.500) and Br at (0.250, 0.250, 0.750).